Compound: ScTeIr2
Source: Alexandria
Functional: meta-GGA SCAN
Structure: PBEsol geometry

Cell: 4.036 4.176 4.916 Å, 115.13 114.23 90.00°
Sites, in units of the cell vectors:
Ir 0.741 0.741 0.482
Ir 0.259 0.259 0.518
Sc 0.500 0.000 0.000
Te 0.000 0.500 0.000

- Symmetry: Immm, No. 71
- E_form (uncorrected): -0.46 eV/atom
- Total moment: 0.00 μB/cell